Er2PaTc3 | PBE-GGA | relaxed

- total magnetic moment (μB per formula unit) = 0.00
- uncorrected energy (eV per atom) = -8.48
- theoretical density (Mg/m³) = 11.948

Cell and atoms, written as POSCAR:
```
Er2PaTc3
1.0
4.8864 0.0000 0.2269
2.4432 7.1205 0.1135
0.2596 0.0000 6.8787
Er Pa Tc
4 2 6
direct
0.6650 0.6700 0.5000
0.0000 0.0000 0.5000
0.3350 0.3300 0.5000
0.0000 0.0000 0.0000
0.3374 0.3253 0.0000
0.6626 0.6747 0.0000
0.7880 0.3483 0.7756
0.1363 0.6517 0.7756
0.2120 0.6517 0.2244
0.4974 0.0000 0.7679
0.8637 0.3483 0.2244
0.5026 0.0000 0.2321
```

PmZnAg3 | PBE-GGA | relaxed

- total magnetic moment (μB per formula unit) = 0.00
- energy above the most stable polymorph in this dataset (meV/atom) = 0
- uncorrected energy (eV per atom) = -3.14
- theoretical density (Mg/m³) = 8.625

Cell and atoms, written as POSCAR:
```
PmZnAg3
1.0
-1.6017 1.0938 -5.4850
-1.5850 -5.5732 -0.6485
-5.4804 1.2933 2.2799
Ag Zn Pm
6 2 2
direct
0.6770 0.5016 0.8447
0.6378 0.7500 0.4409
0.6770 0.9984 0.8447
0.3230 0.0016 0.1553
0.3622 0.2500 0.5591
0.3230 0.4984 0.1553
0.9383 0.7500 0.1428
0.0617 0.2500 0.8572
0.8388 0.2500 0.3281
0.1612 0.7500 0.6719
```

NaNdTl | PBE-GGA | relaxed

- total magnetic moment (μB per formula unit) = 0.00
- energy above the most stable polymorph in this dataset (meV/atom) = 137
- uncorrected energy (eV per atom) = -2.87
- theoretical density (Mg/m³) = 6.586

Cell and atoms, written as POSCAR:
```
NaNdTl
1.0
-2.6670 -1.6308 -1.7111
1.9264 -0.0045 -2.9983
3.2061 -5.7419 4.1865
Na Tl Nd
1 1 1
direct
0.5985 0.5985 0.1970
0.9507 0.9507 0.9013
0.3008 0.3008 0.6016
```

Please write out number 2 again, unchanged.
PmZnAg3 | PBE-GGA | relaxed

- total magnetic moment (μB per formula unit) = 0.00
- energy above the most stable polymorph in this dataset (meV/atom) = 0
- uncorrected energy (eV per atom) = -3.14
- theoretical density (Mg/m³) = 8.625

Cell and atoms, written as POSCAR:
```
PmZnAg3
1.0
-1.6017 1.0938 -5.4850
-1.5850 -5.5732 -0.6485
-5.4804 1.2933 2.2799
Ag Zn Pm
6 2 2
direct
0.6770 0.5016 0.8447
0.6378 0.7500 0.4409
0.6770 0.9984 0.8447
0.3230 0.0016 0.1553
0.3622 0.2500 0.5591
0.3230 0.4984 0.1553
0.9383 0.7500 0.1428
0.0617 0.2500 0.8572
0.8388 0.2500 0.3281
0.1612 0.7500 0.6719
```